Compound: Nd3Er3Th2
Source: Alexandria via LeMat-Bulk
Functional: PBE
Structure: optimized geometry

Calculated values
E = -42.5 eV/cell
ΔE to the lowest computed polymorph = 8.8 meV/atom
DOS at the Fermi energy = 11.60 states/eV per cell
ΔH_f (0 K) = 0.04 eV per atom
size of the total moment = 0.00 μB/cell

Unit cell a=6.201 b=6.224 c=8.033 alpha=104.94 beta=104.91 gamma=109.49
Space group P-1 (No. 2)
Asymmetric unit:
Nd  0.000  0.000  0.000 [1 per cell]
Nd  0.131  0.631  0.262 [2 per cell]
Er  0.374  0.873  0.747 [2 per cell]
Er  0.500  0.500  0.000 [1 per cell]
Th  0.253  0.253  0.506 [2 per cell]